No. 1
This record from Alexandria describes a relaxed LaPm6Dy3 crystal. The functional is PBE.

Geometry as CIF:
```
data_LaPm6Dy3
_chemical_formula_sum 'La3 Pm18 Dy9'
_space_group_name_H-M_alt 'R 3'
_space_group_IT_number 146
_space_group_name_Hall 'R 3'
_cell_length_a 9.9795
_cell_length_b 9.9795
_cell_length_c 11.9631
_cell_angle_alpha 90.00
_cell_angle_beta 90.00
_cell_angle_gamma 120.00
loop_
_atom_site_label
_atom_site_type_symbol
_atom_site_fract_x
_atom_site_fract_y
_atom_site_fract_z
_atom_site_occupancy
La1 La 0.0000 0.0000 0.0000 1
Pm1 Pm 0.0002 0.3296 0.0005 1
Pm2 Pm 0.0001 0.6741 0.5004 1
Dy1 Dy 0.0000 0.0000 0.2536 1
Dy2 Dy 0.0000 0.0000 0.4999 1
Dy3 Dy 0.0000 0.0000 0.7460 1
```

Values from the calculation:
The calculated density comes out at 7.22 Mg/m³. The value obtained for the calculated formation energy is 0.2403 eV/atom. The value obtained for the magnetization is 0.011 μB per cell. As for the energy relative to the lowest polymorph listed for this composition: 2.261 kcal/mol of atoms. Its density of states at the Fermi level is 20.318 states/eV/f.u.

---

No. 2
This record from Alexandria describes a relaxed BaCr2As crystal. The functional is PBE.

Geometry as CIF:
```
data_BaCr2As
_chemical_formula_sum 'Ba3 Cr6 As3'
_space_group_name_H-M_alt 'R -3 m'
_space_group_IT_number 166
_space_group_name_Hall '-R 3 2"'
_cell_length_a 4.3441
_cell_length_b 4.3441
_cell_length_c 18.4021
_cell_angle_alpha 90.00
_cell_angle_beta 90.00
_cell_angle_gamma 120.00
loop_
_atom_site_label
_atom_site_type_symbol
_atom_site_fract_x
_atom_site_fract_y
_atom_site_fract_z
_atom_site_occupancy
Ba1 Ba 0.0000 0.0000 0.0000 1
Cr1 Cr 0.0000 0.0000 0.2003 1
As1 As 0.0000 0.0000 0.5000 1
```

Values from the calculation:
The calculated density comes out at 5.24 Mg/m³. The value obtained for the calculated formation energy is 0.2766 eV/atom. The value obtained for the magnetization is 22.328 μB per cell. Its density of states at the Fermi level is 4.138 states/eV/f.u.